--- w ---
A plane-wave DFT calculation with PBE was carried out for a geometry-optimized HfHRh2Au structure.

abc: 4.0537 4.0537 4.0863
angles: 90.00 90.00 90.00
Closest atoms and distances in Å follow each position.
Fractional coordinates of all 5 atoms:
Hf 0.0000 0.0000 0.0000  2 H 2.04
H 0.0000 0.0000 0.5000  4 Rh 2.03, 2 Hf 2.04
Rh 0.0000 0.5000 0.5000  2 H 2.03
Rh 0.5000 0.0000 0.5000  2 H 2.03
Au 0.5000 0.5000 0.0000  4 Hf 2.87, 8 Rh 2.88

Summary:
ρ in Mg/m³: 14.400
N(E_F) in states/eV per cell: 0.82

---

--- x ---
A plane-wave DFT calculation with PBE was carried out for a geometry-optimized HfHRh2Au structure.

abc: 4.1506 4.1506 3.9043
angles: 90.00 90.00 90.00
Closest atoms and distances in Å follow each position.
Fractional coordinates of all 5 atoms:
Hf 0.0000 0.0000 0.0000  8 Rh 2.85, 4 Au 2.93
H 0.5000 0.5000 0.5000  2 Au 1.95, 4 Rh 2.08
Rh 0.0000 0.5000 0.5000  2 H 2.08
Rh 0.5000 0.0000 0.5000  2 H 2.08
Au 0.5000 0.5000 0.0000  2 H 1.95

Summary:
ρ in Mg/m³: 14.375
N(E_F) in states/eV per cell: 0.31

---

The most stable of them is w.

---

--- w ---
A plane-wave DFT calculation with PBE was carried out for a geometry-optimized Hf2ZrHAu structure.

abc: 4.3416 4.3416 4.4998
angles: 90.00 90.00 90.00
Closest atoms and distances in Å follow each position.
Fractional coordinates of all 5 atoms:
Hf 0.0000 0.5000 0.0000  2 H 2.17
Hf 0.5000 0.0000 0.0000  2 H 2.17
Zr 0.0000 0.0000 0.5000  4 Au 3.07, 8 Hf 3.13
H 0.5000 0.5000 0.0000  4 Hf 2.17, 2 Au 2.25
Au 0.5000 0.5000 0.5000  2 H 2.25

Summary:
ρ in Mg/m³: 12.651
N(E_F) in states/eV per cell: 4.15

---

--- x ---
A plane-wave DFT calculation with PBE was carried out for a geometry-optimized Hf2ZrHAu structure.

abc: 4.3984 4.3984 4.3489
angles: 90.00 90.00 90.00
Closest atoms and distances in Å follow each position.
Fractional coordinates of all 5 atoms:
Hf 0.0000 0.5000 0.0000  2 H 2.20
Hf 0.5000 0.0000 0.0000  2 H 2.20
Zr 0.0000 0.0000 0.5000  2 H 2.17
H 0.0000 0.0000 0.0000  2 Zr 2.17, 4 Hf 2.20
Au 0.5000 0.5000 0.5000  8 Hf 3.09, 4 Zr 3.11

Summary:
ρ in Mg/m³: 12.753
N(E_F) in states/eV per cell: 5.61

---

The most stable of them is x.

---

--- w ---
A plane-wave DFT calculation with PBE was carried out for a geometry-optimized Hg2HAu structure.

abc: 3.4662 4.9369 5.5680
angles: 64.20 87.53 88.88
Closest atoms and distances in Å follow each position.
Fractional coordinates of all 4 atoms:
Hg 0.0070 0.1636 0.1730  2 Au 2.95-2.98, 3 Hg 3.01-3.28
Hg 0.9930 0.8364 0.8270  2 Au 2.95-2.98, 3 Hg 3.01-3.28
H 0.5000 0.5000 0.5000  2 Au 1.73
Au 0.0000 0.5000 0.5000  2 H 1.73

Summary:
ρ in Mg/m³: 11.609
N(E_F) in states/eV per cell: 0.32

---

--- x ---
A plane-wave DFT calculation with PBE was carried out for a geometry-optimized Hg2HAu structure.

abc: 6.6917 6.6917 6.6917
angles: 90.00 90.00 90.00
Closest atoms and distances in Å follow each position.
Fractional coordinates of all 16 atoms:
Hg 0.2500 0.2500 0.2500  4 H 2.90, 4 Au 2.90
Hg 0.2500 0.2500 0.7500  4 H 2.90, 4 Au 2.90
Hg 0.2500 0.7500 0.2500  4 H 2.90, 4 Au 2.90
Hg 0.2500 0.7500 0.7500  4 Au 2.90, 4 H 2.90
Hg 0.7500 0.2500 0.2500  4 H 2.90, 4 Au 2.90
Hg 0.7500 0.2500 0.7500  4 Au 2.90, 4 H 2.90
Hg 0.7500 0.7500 0.2500  4 Au 2.90, 4 H 2.90
Hg 0.7500 0.7500 0.7500  4 H 2.90, 4 Au 2.90
H 0.0000 0.0000 0.0000  8 Hg 2.90
H 0.0000 0.5000 0.5000  8 Hg 2.90
H 0.5000 0.0000 0.5000  8 Hg 2.90
H 0.5000 0.5000 0.0000  8 Hg 2.90
Au 0.0000 0.0000 0.5000  8 Hg 2.90
Au 0.0000 0.5000 0.0000  8 Hg 2.90
Au 0.5000 0.0000 0.0000  8 Hg 2.90
Au 0.5000 0.5000 0.5000  8 Hg 2.90

Summary:
ρ in Mg/m³: 13.281
N(E_F) in states/eV per cell: 5.41

---

--- y ---
A plane-wave DFT calculation with PBE was carried out for a geometry-optimized Hg2HAu structure.

abc: 6.5101 6.5101 7.0055
angles: 90.00 90.00 90.00
Closest atoms and distances in Å follow each position.
Fractional coordinates of all 16 atoms:
Hg 0.1690 0.2500 0.1250  2 H 2.15
Hg 0.2500 0.6690 0.3750  2 H 2.15
Hg 0.2500 0.8310 0.8750  2 H 2.15
Hg 0.3310 0.2500 0.6250  2 H 2.15
Hg 0.6690 0.7500 0.6250  2 H 2.15
Hg 0.7500 0.1690 0.8750  2 H 2.15
Hg 0.7500 0.3310 0.3750  2 H 2.15
Hg 0.8310 0.7500 0.1250  2 H 2.15
H 0.0000 0.0000 0.0000  4 Hg 2.15
H 0.0000 0.5000 0.2500  4 Hg 2.15
H 0.5000 0.0000 0.7500  4 Hg 2.15
H 0.5000 0.5000 0.5000  4 Hg 2.15
Au 0.0000 0.0000 0.5000  4 Hg 2.84
Au 0.0000 0.5000 0.7500  4 Hg 2.84
Au 0.5000 0.0000 0.2500  4 Hg 2.84
Au 0.5000 0.5000 0.0000  4 Hg 2.84

Summary:
ρ in Mg/m³: 13.404
N(E_F) in states/eV per cell: 2.56

---

The most stable of them is w.

---

--- w ---
A plane-wave DFT calculation with PBE was carried out for a geometry-optimized HgHAu2 structure.

abc: 6.5123 6.5123 6.5123
angles: 90.00 90.00 90.00
Closest atoms and distances in Å follow each position.
Fractional coordinates of all 16 atoms:
Hg 0.0000 0.0000 0.0000  8 Au 2.82
Hg 0.0000 0.5000 0.5000  8 Au 2.82
Hg 0.5000 0.0000 0.5000  8 Au 2.82
Hg 0.5000 0.5000 0.0000  8 Au 2.82
H 0.0000 0.0000 0.5000  8 Au 2.82
H 0.0000 0.5000 0.0000  8 Au 2.82
H 0.5000 0.0000 0.0000  8 Au 2.82
H 0.5000 0.5000 0.5000  8 Au 2.82
Au 0.2500 0.2500 0.2500  4 Hg 2.82, 4 H 2.82
Au 0.2500 0.2500 0.7500  4 Hg 2.82, 4 H 2.82
Au 0.2500 0.7500 0.2500  4 Hg 2.82, 4 H 2.82
Au 0.2500 0.7500 0.7500  4 Hg 2.82, 4 H 2.82
Au 0.7500 0.2500 0.2500  4 Hg 2.82, 4 H 2.82
Au 0.7500 0.2500 0.7500  4 Hg 2.82, 4 H 2.82
Au 0.7500 0.7500 0.2500  4 Hg 2.82, 4 H 2.82
Au 0.7500 0.7500 0.7500  4 Hg 2.82, 4 H 2.82

Summary:
ρ in Mg/m³: 14.322
N(E_F) in states/eV per cell: 6.26

---

--- x ---
A plane-wave DFT calculation with PBE was carried out for a geometry-optimized HgHAu2 structure.

abc: 5.2391 5.2391 11.0349
angles: 90.00 90.00 90.00
Closest atoms and distances in Å follow each position.
Fractional coordinates of all 16 atoms:
Hg 0.0000 0.0000 0.0000  4 Au 2.99
Hg 0.0000 0.5000 0.2500  4 Au 2.99
Hg 0.5000 0.0000 0.7500  4 Au 2.99
Hg 0.5000 0.5000 0.5000  4 Au 2.99
H 0.0000 0.0000 0.5000  4 Au 1.93
H 0.0000 0.5000 0.7500  4 Au 1.93
H 0.5000 0.0000 0.2500  4 Au 1.93
H 0.5000 0.5000 0.0000  4 Au 1.93
Au 0.0604 0.2500 0.6250  2 H 1.93
Au 0.2500 0.5604 0.8750  2 H 1.93
Au 0.2500 0.9396 0.3750  2 H 1.93
Au 0.4396 0.2500 0.1250  2 H 1.93
Au 0.5604 0.7500 0.1250  2 H 1.93
Au 0.7500 0.0604 0.3750  2 H 1.93
Au 0.7500 0.4396 0.8750  2 H 1.93
Au 0.9396 0.7500 0.6250  2 H 1.93

Summary:
ρ in Mg/m³: 13.060
N(E_F) in states/eV per cell: 3.91

---

--- y ---
A plane-wave DFT calculation with PBE was carried out for a geometry-optimized HgHAu2 structure.

abc: 3.1505 3.1505 21.5279
angles: 90.00 90.00 120.00
Closest atoms and distances in Å follow each position.
Fractional coordinates of all 12 atoms:
Hg 0.0000 0.0000 0.0000  6 Au 2.98, 6 Hg 3.15
Hg 0.3333 0.6667 0.6667  6 Au 2.98, 6 Hg 3.15
Hg 0.6667 0.3333 0.3333  6 Au 2.98, 6 Hg 3.15
H 0.0000 0.0000 0.5000  6 Au 2.19
H 0.3333 0.6667 0.1667  6 Au 2.19
H 0.6667 0.3333 0.8333  6 Au 2.19
Au 0.0000 0.0000 0.2236  3 H 2.19
Au 0.0000 0.0000 0.7764  3 H 2.19
Au 0.3333 0.6667 0.4431  3 H 2.19
Au 0.3333 0.6667 0.8903  3 H 2.19
Au 0.6667 0.3333 0.1097  3 H 2.19
Au 0.6667 0.3333 0.5569  3 H 2.19

Summary:
ρ in Mg/m³: 16.032
N(E_F) in states/eV per cell: 3.13

---

The most stable of them is x.